Record 1
This record from Alexandria via LeMat-Bulk describes crystalline DySi2Ir4 at its relaxed geometry. The functional is GGA-PBE.

```
7
Lattice="4.018 0.000 0.000 0.000 4.077 0.000 0.000 -2.039 6.854" Properties=species:S:1:pos:R:3 pbc="T T T"
Dy 0.000 0.000 0.000
Si 2.009 2.039 1.205
Si 2.009 0.000 5.650
Ir 2.009 2.039 4.458
Ir 0.000 2.039 2.475
Ir 2.009 0.000 2.397
Ir 0.000 0.000 4.379
```

## Properties
E_form (uncorrected) (meV/atom): -702.7
Energy above the lowest structure with this stoichiometry (meV per atom): 25
DFT total energy (eV/atom): -7.97
Volume (Å³/atom): 16.0
Space-group type: No. 65
M_tot (μB/f.u.): 0.0

Record 2
This record from Alexandria via LeMat-Bulk describes crystalline Zn5Ag3Au3 at its relaxed geometry. The functional is GGA-PBE.

```
11
Lattice="3.640 0.000 0.000 0.000 8.315 0.000 0.000 -4.157 7.201" Properties=species:S:1:pos:R:3 pbc="T T T"
Zn 1.820 0.000 4.801
Zn 1.820 4.157 2.400
Zn 1.820 0.740 1.282
Zn 1.820 -3.417 5.918
Zn 1.820 6.834 0.000
Ag 0.000 1.666 2.885
Ag 0.000 4.984 0.000
Ag 0.000 -2.492 4.316
Au 1.820 2.693 4.664
Au 1.820 -1.465 2.537
Au 1.820 2.929 0.000
```

## Properties
DFT total energy (eV/atom): -2.14
ΔH_f (0 K) (eV/atom): 0.11
Volume (Å³/atom): 19.8
Space-group type: No. 189
M_tot (μB/f.u.): 0.0

Record 3
This record from Alexandria via LeMat-Bulk describes crystalline Dy2Er2Ga at its relaxed geometry. The functional is GGA-PBE.

```
5
Lattice="-3.903 -1.433 0.489 0.803 -3.105 -2.690 4.215 -2.745 7.684" Properties=species:S:1:pos:R:3 pbc="T T T"
Dy 2.198 -4.135 5.430
Dy -1.083 -3.148 0.054
Er -0.619 -3.223 3.536
Er 1.734 -4.060 1.947
Ga 0.000 0.000 0.000
```

## Properties
DFT total energy (eV/atom): -3.95
ΔH_f (0 K) (eV/atom): 0.32
Volume (Å³/atom): 30.5
Space-group type: No. 139
M_tot (μB/f.u.): 0.0

Record 4
This record from Alexandria via LeMat-Bulk describes crystalline Th4As2IrSe at its relaxed geometry. The functional is GGA-PBE.

```
8
Lattice="-3.804 -0.412 1.594 2.244 -5.921 3.824 1.052 6.104 4.089" Properties=species:S:1:pos:R:3 pbc="T T T"
Th -1.061 -0.194 2.806
Th 0.553 -0.035 6.700
Th 1.408 3.079 4.156
Th 1.888 -2.895 3.757
As -1.376 2.846 2.841
As 1.648 0.092 3.956
Ir -0.780 -3.167 2.709
Se 0.000 0.000 0.000
```

## Properties
E_form (uncorrected) (meV/atom): -1322.6
DFT total energy (eV/atom): -7.74
Volume (Å³/atom): 26.8
Space-group type: No. 10
M_tot (μB/f.u.): 0.0

Record 5
This record from Alexandria via LeMat-Bulk describes crystalline TaCrAg2 at its relaxed geometry. The functional is GGA-PBE.

```
4
Lattice="5.450 0.002 0.011 2.440 4.874 -0.011 -3.298 -3.486 2.585" Properties=species:S:1:pos:R:3 pbc="T T T"
Ag 7.887 4.874 0.000
Ag 2.980 -0.565 1.298
Cr 3.883 2.399 0.000
Ta 1.678 1.996 1.287
```

## Properties
Energy above the lowest structure with this stoichiometry (meV per atom): 226
DFT total energy (eV/atom): -6.26
ΔH_f (0 K) (eV/atom): 0.54
Volume (Å³/atom): 17.1
Space-group type: No. 44
M_tot (μB/f.u.): 2.2

Record 6
This record from Alexandria via LeMat-Bulk describes crystalline Hf2InPb at its relaxed geometry. The functional is GGA-PBE.

```
4
Lattice="3.929 0.000 0.000 1.965 3.403 0.000 1.965 1.134 7.476" Properties=species:S:1:pos:R:3 pbc="T T T"
Pb 3.929 2.269 3.738
Hf 1.965 1.134 1.880
Hf 5.894 3.403 5.596
In 0.000 0.000 0.000
```

## Properties
Energy above the lowest structure with this stoichiometry (meV per atom): 267
DFT total energy (eV/atom): -6.34
ΔH_f (0 K) (eV/atom): 0.25
Volume (Å³/atom): 25.0
Space-group type: No. 166
M_tot (μB/f.u.): 0.0

Record 7
This record from Alexandria via LeMat-Bulk describes crystalline CaAcLaPr3 at its relaxed geometry. The functional is GGA-PBE.

```
12
Lattice="6.205 0.000 0.000 -3.103 10.774 1.437 0.000 -1.384 6.836" Properties=species:S:1:pos:R:3 pbc="T T T"
Ca 0.000 0.858 1.925
Ca 3.103 8.532 6.349
Ac 0.000 6.090 7.558
Ac 3.103 3.300 0.715
La 3.103 2.183 3.876
La 0.000 7.207 4.397
Pr 3.103 7.017 2.514
Pr 3.103 4.986 5.480
Pr 0.000 10.061 3.057
Pr 0.000 4.404 2.794
Pr 3.103 -0.672 5.216
Pr 0.000 2.373 5.760
```

## Properties
DFT total energy (eV/atom): -4.04
ΔH_f (0 K) (eV/atom): 0.19
Volume (Å³/atom): 39.1
Space-group type: No. 12
M_tot (μB/f.u.): 0.0